Entry 1:
The following is a GGA-PBEsol calculation of a relaxed structure of Zr2Ta, from Alexandria.

Cell and atoms, written as POSCAR:
```
Zr2Ta
1.0
-0.910 -1.884 -2.089
-3.115 -2.085 3.238
-3.537 3.197 -1.344
Ta Zr
1 2
Direct
0.000 0.000 0.000 Ta
0.500 0.000 0.500 Zr
0.500 0.500 0.000 Zr
```

DOS at the Fermi energy = 4.53 states/eV per cell
calculated formation energy = 0.67 eV/atom
SG = No. 123
mass density = 8.318 g cm⁻³


Entry 2:
The following is a GGA-PBEsol calculation of a relaxed structure of YAgPt, from Alexandria.

Cell and atoms, written as POSCAR:
```
YAgPt
1.0
-1.490 2.232 -2.419
-3.115 -1.813 0.247
0.992 2.491 4.385
Ag Pt Y
1 1 1
Direct
0.996 0.996 0.991 Ag
0.329 0.329 0.658 Pt
0.675 0.675 0.350 Y
```

DOS at the Fermi energy = 1.36 states/eV per cell
calculated formation energy = -0.70 eV/atom
SG = No. 107
mass density = 11.178 g cm⁻³


Entry 3:
The following is a GGA-PBEsol calculation of a relaxed structure of Mg4NiPt, from Alexandria.

Cell and atoms, written as POSCAR:
```
Mg4NiPt
1.0
-4.532 -2.486 0.936
-0.007 -5.151 1.030
-1.107 -1.709 4.842
Mg Ni Pt
4 1 1
Direct
0.375 0.375 0.375 Mg
0.375 0.375 0.875 Mg
0.875 0.375 0.375 Mg
0.375 0.875 0.375 Mg
0.750 0.750 0.750 Ni
0.000 0.000 0.000 Pt
```

DOS at the Fermi energy = 2.68 states/eV per cell
calculated formation energy = 0.27 eV/atom
SG = No. 216
mass density = 5.686 g cm⁻³


- Which value of mass density does entry 3 give?
  5.686 g cm⁻³


- Which value of DOS at the Fermi energy does entry 1 give?
  4.53 states/eV per cell


What did the first record say?
The following is a GGA-PBEsol calculation of a relaxed structure of Zr2Ta, from Alexandria.

Cell and atoms, written as POSCAR:
```
Zr2Ta
1.0
-0.910 -1.884 -2.089
-3.115 -2.085 3.238
-3.537 3.197 -1.344
Ta Zr
1 2
Direct
0.000 0.000 0.000 Ta
0.500 0.000 0.500 Zr
0.500 0.500 0.000 Zr
```

DOS at the Fermi energy = 4.53 states/eV per cell
calculated formation energy = 0.67 eV/atom
SG = No. 123
mass density = 8.318 g cm⁻³